[1]
{
  "formula": "MnBeZn4",
  "functional": "meta-GGA SCAN",
  "state": "PBEsol geometry",
  "lattice": [[4.8454, 0.0000, 0.0000], [2.4227, 4.1962, 0.0000], [2.4227, 1.3987, 3.9562]],
  "species": ["Zn", "Zn", "Zn", "Zn", "Be", "Mn"],
  "fractional_positions": [[0.3748, 0.3748, 0.8757], [0.3748, 0.3748, 0.3748], [0.8757, 0.3748, 0.3748], [0.3748, 0.8757, 0.3748], [0.7500, 0.7500, 0.7500], [0.0000, 0.0000, 0.0000]]
}



[2]
{
  "formula": "K3Nd3Br10",
  "functional": "meta-GGA SCAN",
  "state": "PBEsol geometry",
  "lattice": [[0.0191, -5.5291, -5.8239], [4.2071, -5.4978, 5.3738], [-11.8236, -4.7126, 4.4352]],
  "species": ["Br", "Br", "Br", "Br", "Br", "Br", "Br", "Br", "Br", "Br", "Br", "Br", "Br", "Br", "Br", "Br", "Br", "Br", "Br", "Br", "Nd", "Nd", "Nd", "Nd", "Nd", "Nd", "K", "K", "K", "K", "K", "K"],
  "fractional_positions": [[0.0781, 0.7778, 0.0951], [0.3160, 0.9585, 0.4891], [0.9321, 0.5160, 0.2863], [0.4220, 0.2943, 0.8776], [0.4095, 0.9855, 0.2109], [0.0679, 0.4840, 0.7863], [0.5951, 0.2734, 0.4259], [0.9219, 0.2222, 0.5951], [0.0714, 0.0185, 0.8251], [0.6840, 0.0415, 0.9891], [0.5780, 0.7057, 0.3776], [0.4049, 0.7266, 0.9259], [0.0619, 0.2083, 0.1190], [0.9381, 0.7917, 0.6190], [0.1975, 0.5318, 0.4901], [0.6253, 0.4892, 0.6887], [0.8025, 0.4682, 0.9901], [0.9286, 0.9815, 0.3251], [0.3747, 0.5108, 0.1887], [0.5905, 0.0145, 0.7109], [0.8016, 0.2529, 0.8201], [0.7069, 0.9588, 0.5004], [0.8185, 0.5335, 0.4987], [0.1984, 0.7471, 0.3201], [0.1815, 0.4665, 0.9987], [0.2931, 0.0412, 0.0004], [0.6910, 0.7469, 0.1459], [0.3090, 0.2531, 0.6459], [0.2130, 0.2470, 0.3391], [0.6862, 0.2582, 0.1880], [0.3138, 0.7418, 0.6880], [0.7870, 0.7530, 0.8391]],
  "raw_formation_energy_mev_per_atom": -1952
}



[3]
{
  "formula": "Hf2TaSi2",
  "functional": "meta-GGA SCAN",
  "state": "PBEsol geometry",
  "lattice": [[-3.5752, 0.7690, 0.1361], [-1.3764, -5.8451, -3.1289], [-0.4401, -3.1080, 5.9997]],
  "species": ["Hf", "Hf", "Hf", "Hf", "Si", "Si", "Si", "Si", "Ta", "Ta"],
  "fractional_positions": [[0.5000, 0.3253, 0.1747], [0.5000, 0.6747, 0.8253], [0.5000, 0.8253, 0.3253], [0.5000, 0.1747, 0.6747], [0.0000, 0.1256, 0.3744], [0.0000, 0.3744, 0.8744], [0.0000, 0.8744, 0.6256], [0.0000, 0.6256, 0.1256], [0.0000, 0.5000, 0.5000], [0.0000, 0.0000, 0.0000]],
  "raw_formation_energy_mev_per_atom": -785
}



[4]
{
  "formula": "K2OsRu",
  "functional": "meta-GGA SCAN",
  "state": "PBEsol geometry",
  "lattice": [[2.7658, 0.0000, 0.0590], [0.0000, 3.8944, 0.0000], [-0.2838, 0.0000, 10.0413]],
  "species": ["K", "K", "Os", "Ru"],
  "fractional_positions": [[0.9974, 0.0000, 0.9115], [0.4995, 0.5000, 0.3389], [0.0012, 0.0000, 0.5836], [0.5019, 0.5000, 0.6660]]
}



[5]
{
  "formula": "ScFeTc2",
  "functional": "meta-GGA SCAN",
  "state": "PBEsol geometry",
  "lattice": [[2.7271, 0.0000, -0.0202], [0.0000, 4.2496, 0.0000], [-0.9454, 0.0000, 4.9649]],
  "species": ["Sc", "Fe", "Tc", "Tc"],
  "fractional_positions": [[0.2409, 0.5000, 0.7392], [0.5360, 0.0000, 0.5016], [0.9929, 0.0000, 0.0224], [0.7302, 0.5000, 0.2368]]
}



[6]
{
  "formula": "ScGe3S",
  "functional": "meta-GGA SCAN",
  "state": "PBEsol geometry",
  "lattice": [[-3.8169, 2.3154, 1.6311], [1.3536, -0.9132, 4.4637], [2.4879, 4.0491, 0.0740]],
  "species": ["Ge", "Ge", "Ge", "Sc", "S"],
  "fractional_positions": [[0.0000, 0.0000, 0.5000], [0.5000, 0.0000, 0.0000], [0.0000, 0.5000, 0.0000], [0.5000, 0.5000, 0.5000], [0.0000, 0.0000, 0.0000]],
  "raw_formation_energy_mev_per_atom": 428
}



[7]
{
  "formula": "MnNiIr2",
  "functional": "meta-GGA SCAN",
  "state": "PBEsol geometry",
  "lattice": [[-0.7901, 1.7570, 1.7980], [-2.6296, -2.1855, 0.9801], [3.1951, -2.2352, 3.5881]],
  "species": ["Mn", "Ni", "Ir", "Ir"],
  "fractional_positions": [[0.5000, 0.5000, 0.0000], [0.5000, 0.5000, 0.5000], [0.0000, 0.0000, 0.7495], [0.0000, 0.0000, 0.2505]]
}



[8]
{
  "formula": "KCuOs",
  "functional": "meta-GGA SCAN",
  "state": "PBEsol geometry",
  "lattice": [[2.7252, 0.0000, 0.0000], [-1.3626, 2.3601, 0.0000], [0.0000, 0.0000, 7.8072]],
  "species": ["Cu", "Os", "K"],
  "fractional_positions": [[0.0000, 0.0000, 0.0341], [0.3333, 0.6667, 0.3004], [0.6667, 0.3333, 0.6656]]
}



[9]
{
  "formula": "LiSi2Tc2",
  "functional": "meta-GGA SCAN",
  "state": "PBEsol geometry",
  "lattice": [[-1.2334, 2.7803, -0.5117], [-2.8962, -0.2063, 5.8606], [5.2487, 2.8241, 2.6932]],
  "species": ["Tc", "Tc", "Tc", "Tc", "Li", "Li", "Si", "Si", "Si", "Si"],
  "fractional_positions": [[0.5000, 0.3421, 0.1579], [0.5000, 0.1579, 0.6579], [0.5000, 0.6579, 0.8421], [0.5000, 0.8421, 0.3421], [0.0000, 0.0000, 0.0000], [0.0000, 0.5000, 0.5000], [0.0000, 0.3629, 0.8629], [0.0000, 0.1371, 0.3629], [0.0000, 0.6371, 0.1371], [0.0000, 0.8629, 0.6371]],
  "raw_formation_energy_mev_per_atom": -457
}



[10]
{
  "formula": "CaTaBiO5",
  "functional": "meta-GGA SCAN",
  "state": "PBEsol geometry",
  "lattice": [[-1.9646, 3.8204, -3.8737], [-3.1324, -8.0083, -1.9317], [-9.1441, 1.9856, 6.5960]],
  "species": ["Ca", "Ca", "Ca", "Ca", "O", "O", "O", "O", "O", "O", "O", "O", "O", "O", "O", "O", "O", "O", "O", "O", "O", "O", "O", "O", "Bi", "Bi", "Bi", "Bi", "Ta", "Ta", "Ta", "Ta"],
  "fractional_positions": [[0.3666, 0.8311, 0.0949], [0.6334, 0.1689, 0.9051], [0.8666, 0.3311, 0.4051], [0.1334, 0.6689, 0.5949], [0.0154, 0.8463, 0.6973], [0.2550, 0.4902, 0.4714], [0.4610, 0.1879, 0.4507], [0.4981, 0.6441, 0.9614], [0.9846, 0.1537, 0.3027], [0.7188, 0.0136, 0.7598], [0.0390, 0.3121, 0.9507], [0.5019, 0.3559, 0.0386], [0.0019, 0.8559, 0.4614], [0.4846, 0.6537, 0.1973], [0.7550, 0.9902, 0.0286], [0.9610, 0.6879, 0.0493], [0.2450, 0.0098, 0.9714], [0.5390, 0.8121, 0.5493], [0.7812, 0.4864, 0.2598], [0.2188, 0.5136, 0.7402], [0.9981, 0.1441, 0.5386], [0.2812, 0.9864, 0.2402], [0.7450, 0.5098, 0.5286], [0.5154, 0.3463, 0.8027], [0.3864, 0.3478, 0.5964], [0.6136, 0.6522, 0.4036], [0.8864, 0.8478, 0.9036], [0.1136, 0.1522, 0.0964], [0.1733, 0.0497, 0.3790], [0.6733, 0.5497, 0.1210], [0.8267, 0.9503, 0.6210], [0.3267, 0.4503, 0.8790]],
  "raw_formation_energy_mev_per_atom": -2550
}



[11]
{
  "formula": "Ta4CoTe4",
  "functional": "meta-GGA SCAN",
  "state": "PBEsol geometry",
  "lattice": [[4.7455, 0.0000, 0.0000], [0.0000, 10.5215, 0.0000], [0.0000, 0.0000, 18.2063]],
  "species": ["Ta", "Ta", "Ta", "Ta", "Ta", "Ta", "Ta", "Ta", "Ta", "Ta", "Ta", "Ta", "Ta", "Ta", "Ta", "Ta", "Te", "Te", "Te", "Te", "Te", "Te", "Te", "Te", "Te", "Te", "Te", "Te", "Te", "Te", "Te", "Te", "Co", "Co", "Co", "Co"],
  "fractional_positions": [[0.5000, 0.4347, 0.6192], [0.0000, 0.1008, 0.8894], [0.5000, 0.5653, 0.3808], [0.5000, 0.2080, 0.9628], [0.0000, 0.8992, 0.1106], [0.0000, 0.3992, 0.3894], [0.5000, 0.0653, 0.1192], [0.0000, 0.1930, 0.0583], [0.5000, 0.2920, 0.4628], [0.5000, 0.9347, 0.8808], [0.5000, 0.7920, 0.0372], [0.0000, 0.3070, 0.5583], [0.0000, 0.6008, 0.6106], [0.0000, 0.6930, 0.4417], [0.5000, 0.7080, 0.5372], [0.0000, 0.8070, 0.9417], [0.5000, 0.8340, 0.3991], [0.0000, 0.1112, 0.2066], [0.5000, 0.1660, 0.6009], [0.0000, 0.3888, 0.7066], [0.0000, 0.6411, 0.0653], [0.0000, 0.6112, 0.2934], [0.0000, 0.3589, 0.9347], [0.5000, 0.3340, 0.1009], [0.5000, 0.6660, 0.8991], [0.0000, 0.1411, 0.4347], [0.5000, 0.1729, 0.8088], [0.5000, 0.8271, 0.1912], [0.0000, 0.8888, 0.7934], [0.5000, 0.3271, 0.3088], [0.5000, 0.6729, 0.6912], [0.0000, 0.8589, 0.5653], [0.2500, 0.0000, 0.0000], [0.7500, 0.0000, 0.0000], [0.7500, 0.5000, 0.5000], [0.2500, 0.5000, 0.5000]],
  "raw_formation_energy_mev_per_atom": -367
}



[12]
{
  "formula": "SrCr2Hg",
  "functional": "meta-GGA SCAN",
  "state": "PBEsol geometry",
  "lattice": [[-2.4145, 1.3762, 0.1324], [-0.8421, -1.6712, 2.0589], [3.6544, 5.8140, 6.2138]],
  "species": ["Hg", "Cr", "Cr", "Sr"],
  "fractional_positions": [[0.5000, 0.5000, 0.5000], [0.0000, 0.0000, 0.2801], [0.0000, 0.0000, 0.7199], [0.5000, 0.5000, 0.0000]]
}



Ordered final energy results: -12.686 -23.847 -43.178 -30.189 -25.614 -15.797 -44.388 -30.841 -18.965 -25.798 -48.439 -30.468; unit eV per atom.
Ordered V results: 13.407 29.642 16.779 27.055 14.364 21.475 12.417 16.739 13.194 17.201 25.251 17.923; unit A^3/atom.
Ordered spin magnetization results: 3.74 2.01 0.00 0.03 2.27 0.00 1.71 0.00 0.00 0.00 0.00 0.00; unit μB per formula unit.